Fe2IrCl: optimized geometry, PBE.

formation energy from raw total energies = 29.0 kJ/mol of atoms

Unit cell a=7.5850 b=2.9119 c=7.5345 alpha=90.00 beta=120.06 gamma=90.00
Closest atoms and distances in Å follow each position.
Space group C2/m (No. 12)
Unique sites:
Fe (0.1878, 0.0000, 0.3088) (multiplicity 4)  3 Ir 2.48-2.53, 2 Cl 2.50
Ir (0.0000, 0.0000, 0.5000) (multiplicity 2)  6 Fe 2.48-2.53
Cl (0.0000, 0.5000, 0.0000) (multiplicity 2)  4 Fe 2.50